This record from the Alexandria database describes a relaxed structure of YSb2IBr. The functional is PBE.

abc: 5.546 5.546 5.520
angles: 90.00 90.00 90.00
Fractional positions:
Y: 0.000 0.000 0.000
Sb: 0.000 0.500 0.500
Sb: 0.500 0.000 0.500
I: 0.500 0.500 0.000
Br: 0.500 0.500 0.500

Values from the calculation:
The value obtained for the formation energy (no corrections) is 0.399 eV/atom. Its space group is P4/mmm. The total energy comes out at -3.19 eV per atom. As for the density of states at the Fermi level: 2.75 states/eV/f.u.